Here is a relaxed Nd3Dy4Tm crystal from the Alexandria database. Energies are from PBE.

POSCAR file:
```
Nd3Dy4Tm
1.0
3.378 0.000 0.875
1.193 8.519 2.353
-0.488 -1.067 8.841
Nd Dy Tm
3 4 1
direct
0.000 0.500 0.500
0.757 0.243 0.243
0.243 0.757 0.757
0.365 0.379 0.890
0.365 0.890 0.379
0.635 0.110 0.621
0.635 0.621 0.110
0.500 0.000 0.000
```

Results
Total magnetization = 0.0 μB/f.u.
DFT total energy = -0.332 Ry per atom
Space group = No. 71
ΔE_f = 0.127 eV per atom
ρ = 7.83 g/cm³